# LaGd2Er (PBE, relaxed)
# **DFT total energy**: -112.6 eV/cell
data_LaGd2Er
_cell_length_a 3.6026
_cell_length_b 3.6026
_cell_length_c 35.3415
_cell_angle_alpha 90.00
_cell_angle_beta 90.00
_cell_angle_gamma 120.00
_symmetry_space_group_name_H-M 'R -3 m'
_symmetry_Int_Tables_number 166
_symmetry_space_group_name_Hall '-R 3 2"'
loop_
_atom_site_label
_atom_site_type_symbol
_atom_site_fract_x
_atom_site_fract_y
_atom_site_fract_z
La1 La 0.0000 0.0000 0.0000
Gd1 Gd 0.0000 0.0000 0.2476
Er1 Er 0.0000 0.0000 0.5000